## TlIn2Ga (PBE)

Data for a relaxed TlIn2Ga crystal.

Fermi-level density of states = 1.907 states/eV/f.u.
Energy relative to the lowest polymorph listed for this composition = 0.200 eV/f.u.
Energy = -2.6396 eV per atom
Energy relative to the elements = 0.31 eV per formula unit

Lattice parameters (Å, degrees): 4.747 4.747 6.416 68.29 68.29 60.00
Atoms (fractional coordinates):
Tl: 0.493 0.493 0.520
In: 0.063 0.063 0.812
In: 0.269 0.269 0.192
Ga: 0.675 0.675 0.976

## Si3NiI (PBE)

Data for a relaxed Si3NiI crystal.

Fermi-level density of states = 1.607 states/eV/f.u.
Energy relative to the lowest polymorph listed for this composition = 0.502 eV/f.u.
Energy = -4.7378 eV per atom

Lattice parameters (Å, degrees): 3.945 3.947 13.773 86.46 87.29 84.32
Atoms (fractional coordinates):
Si: 0.390 0.404 0.768
Si: 0.610 0.596 0.232
Si: 0.210 0.750 0.107
Si: 0.790 0.250 0.893
Si: 0.244 0.797 0.893
Si: 0.756 0.203 0.107
Ni: 0.721 0.722 0.990
Ni: 0.279 0.278 0.010
I: 0.737 0.756 0.640
I: 0.263 0.244 0.360

## Be3PN (PBE)

Data for a relaxed Be3PN crystal.

Fermi-level density of states = 0.000 states/eV/f.u.
Energy relative to the lowest polymorph listed for this composition = 0.000 eV/f.u.
Energy = -5.2795 eV per atom

Lattice parameters (Å, degrees): 3.538 3.538 3.538 90.00 90.00 90.00
Atoms (fractional coordinates):
P: 0.500 0.500 0.500
Be: 0.000 0.500 0.000
Be: 0.000 0.000 0.500
Be: 0.500 0.000 0.000
N: 0.000 0.000 0.000

## La4PPdI2 (PBE)

Data for a relaxed La4PPdI2 crystal.

Fermi-level density of states = 6.999 states/eV/f.u.
Energy = -5.3401 eV per atom

Lattice parameters (Å, degrees): 4.218 7.755 8.145 107.10 90.00 90.00
Atoms (fractional coordinates):
La: 0.500 0.231 0.197
La: 0.500 0.769 0.803
La: 0.000 0.280 0.796
La: 0.000 0.720 0.204
P: 0.500 0.500 0.000
Pd: 0.000 0.000 0.000
I: 0.500 0.000 0.500
I: 0.000 0.500 0.500

## Sr3LiOs2O9 (PBE)

Data for a relaxed Sr3LiOs2O9 crystal.

Fermi-level density of states = 5.604 states/eV/f.u.
Energy = -6.9037 eV per atom

Lattice parameters (Å, degrees): 5.614 5.614 6.903 90.00 90.00 120.00
Atoms (fractional coordinates):
Sr: 0.333 0.667 0.644
Sr: 0.000 0.000 0.000
Sr: 0.667 0.333 0.356
Li: 0.000 0.000 0.500
Os: 0.333 0.667 0.164
Os: 0.667 0.333 0.836
O: 0.827 0.173 0.677
O: 0.827 0.654 0.677
O: 0.346 0.173 0.677
O: 0.654 0.827 0.323
O: 0.173 0.346 0.323
O: 0.173 0.827 0.323
O: 0.500 0.000 0.000
O: 0.000 0.500 0.000
O: 0.500 0.500 0.000

## La3Pm2SmS6 (PBE)

Data for a relaxed La3Pm2SmS6 crystal.

Fermi-level density of states = 5.886 states/eV/f.u.
Energy = -6.5875 eV per atom

Lattice parameters (Å, degrees): 7.084 7.084 7.088 99.60 99.60 120.09
Atoms (fractional coordinates):
La: 0.167 0.833 0.500
La: 0.833 0.167 0.500
La: 0.500 0.500 0.500
Pm: 0.333 0.667 0.000
Pm: 0.667 0.333 0.000
Sm: 0.000 0.000 0.000
S: 0.920 0.588 0.759
S: 0.748 0.748 0.241
S: 0.080 0.412 0.241
S: 0.588 0.920 0.759
S: 0.252 0.252 0.759
S: 0.412 0.080 0.241

## SrIn3Ag3 (PBE)

Data for a relaxed SrIn3Ag3 crystal.

Fermi-level density of states = 2.199 states/eV/f.u.
Energy relative to the lowest polymorph listed for this composition = 0.431 eV/f.u.
Energy = -2.7282 eV per atom
Energy relative to the elements = -0.65 eV per formula unit

Lattice parameters (Å, degrees): 5.520 8.714 8.714 120.00 90.00 90.00
Atoms (fractional coordinates):
Sr: 0.250 0.333 0.667
Sr: 0.750 0.667 0.333
In: 0.750 0.760 0.879
In: 0.750 0.119 0.240
In: 0.250 0.879 0.119
In: 0.750 0.121 0.881
In: 0.250 0.881 0.760
In: 0.250 0.240 0.121
Ag: 0.750 0.452 0.902
Ag: 0.750 0.451 0.548
Ag: 0.250 0.902 0.451
Ag: 0.750 0.098 0.549
Ag: 0.250 0.549 0.452
Ag: 0.250 0.548 0.098

## Zn2HPd2 (PBE)

Data for a relaxed Zn2HPd2 crystal.

Fermi-level density of states = 1.916 states/eV/f.u.
Energy relative to the lowest polymorph listed for this composition = 0.000 eV/f.u.
Energy = -3.4575 eV per atom

Lattice parameters (Å, degrees): 5.625 5.625 4.184 90.00 90.00 90.00
Atoms (fractional coordinates):
H: 0.000 0.000 0.000
H: 0.500 0.500 0.000
Zn: 0.154 0.654 0.500
Zn: 0.654 0.846 0.500
Zn: 0.846 0.346 0.500
Zn: 0.346 0.154 0.500
Pd: 0.328 0.828 0.000
Pd: 0.828 0.672 0.000
Pd: 0.672 0.172 0.000
Pd: 0.172 0.328 0.000

## MnReSbI2 (PBE)

Data for a relaxed MnReSbI2 crystal.

Fermi-level density of states = 5.729 states/eV/f.u.
Energy relative to the lowest polymorph listed for this composition = 0.000 eV/f.u.
Energy = -4.6951 eV per atom

Lattice parameters (Å, degrees): 5.612 5.612 5.120 90.00 90.00 90.00
Atoms (fractional coordinates):
I: 0.000 0.500 0.000
I: 0.500 0.000 0.000
Re: 0.000 0.000 0.000
Mn: 0.500 0.500 0.500
Sb: 0.000 0.000 0.500

## Ba5Sr2Ca4 (PBE)

Data for a relaxed Ba5Sr2Ca4 crystal.

Fermi-level density of states = 15.151 states/eV/f.u.
Energy = -1.8336 eV per atom
Energy relative to the elements = 0.81 eV per formula unit

Lattice parameters (Å, degrees): 4.091 10.131 16.896 120.72 96.95 90.00
Atoms (fractional coordinates):
Ba: 0.183 0.898 0.366
Ba: 0.817 0.102 0.634
Ba: 0.135 0.206 0.271
Ba: 0.500 0.000 0.000
Ba: 0.865 0.794 0.729
Sr: 0.585 0.477 0.171
Sr: 0.415 0.523 0.829
Ca: 0.726 0.619 0.452
Ca: 0.041 0.726 0.081
Ca: 0.274 0.381 0.548
Ca: 0.959 0.274 0.919

## Nd2Tm2Pb2C (PBE)

Data for a relaxed Nd2Tm2Pb2C crystal.

Fermi-level density of states = 0.441 states/eV/f.u.
Energy = -5.6312 eV per atom
Energy relative to the elements = -4.30 eV per formula unit

Lattice parameters (Å, degrees): 4.807 4.807 8.967 105.55 105.55 90.00
Atoms (fractional coordinates):
Nd: 0.159 0.159 0.318
Nd: 0.841 0.841 0.682
Tm: 0.000 0.500 0.000
Tm: 0.500 0.000 0.000
Pb: 0.363 0.363 0.726
Pb: 0.637 0.637 0.274
C: 0.000 0.000 0.000

## TlGaCu2Ge (PBE)

Data for a relaxed TlGaCu2Ge crystal.

Fermi-level density of states = 1.853 states/eV/f.u.
Energy = -2.7492 eV per atom
Energy relative to the elements = 4.46 eV per formula unit

Lattice parameters (Å, degrees): 4.930 5.386 4.930 90.00 90.00 90.00
Atoms (fractional coordinates):
Tl: 0.000 0.000 0.000
Cu: 0.000 0.000 0.500
Cu: 0.500 0.000 0.000
Ge: 0.000 0.500 0.000
Ga: 0.500 0.500 0.500